No. 1
A plane-wave DFT calculation with PBE was carried out for crystalline Dy2Er5Te2Ir2 at its relaxed geometry.

Summary:
ρ	10334	kg/m3
SG	Imm2 (44)
energy	-66.20	eV per cell

a = 9.3455 Å, b = 9.3455 Å, c = 9.3455 Å
α = 155.79°, β = 66.27°, γ = 119.36°
With the nearest neighbours (Å) after each atom.
Sites, in units of the cell vectors:
Dy 0.5601 0.4139 0.1462  2 Ir 2.86, 2 Te 3.17
Dy 0.2676 0.4139 0.8538  2 Ir 2.86, 2 Te 3.17
Er 0.2390 0.0545 0.1845  3 Ir 2.84-3.08, 1 Te 3.16
Er 0.6331 0.2649 0.3682  2 Ir 2.83, 1 Te 3.10
Er 0.1823 0.6823 0.5000  3 Te 3.17-3.18
Er 0.8966 0.2649 0.6318  2 Ir 2.83, 1 Te 3.10
Er 0.8700 0.0545 0.8155  3 Ir 2.84-3.08, 1 Te 3.16
Ir 0.0162 0.7541 0.2622  5 Er 2.83-3.08, 2 Dy 2.86
Ir 0.4919 0.7541 0.7378  5 Er 2.83-3.08, 2 Dy 2.86
Te 0.9182 0.9182 0.0000  8 Er 3.16-3.19
Te 0.5195 0.0195 0.5000  3 Er 3.10-3.18, 4 Dy 3.17

=====

No. 2
A plane-wave DFT calculation with PBE was carried out for crystalline DyErZn2Ir4 at its relaxed geometry.

Summary:
formation energy	-0.42	eV/atom
ρ	15109	kg/m3
SG	P4/mmm (123)

a = 4.5687 Å, b = 4.5687 Å, c = 6.4735 Å
α = 90.00°, β = 90.00°, γ = 90.00°
With the nearest neighbours (Å) after each atom.
Sites, in units of the cell vectors:
Dy 0.0000 0.0000 0.0000  8 Ir 2.80
Er 0.5000 0.5000 0.5000  8 Ir 2.80
Ir 0.5000 0.0000 0.2509  2 Er 2.80, 4 Zn 2.80, 2 Dy 2.80
Ir 0.0000 0.5000 0.2509  2 Er 2.80, 4 Zn 2.80, 2 Dy 2.80
Ir 0.5000 0.0000 0.7491  2 Er 2.80, 4 Zn 2.80, 2 Dy 2.80
Ir 0.0000 0.5000 0.7491  2 Er 2.80, 4 Zn 2.80, 2 Dy 2.80
Zn 0.5000 0.5000 0.0000  8 Ir 2.80
Zn 0.0000 0.0000 0.5000  8 Ir 2.80

=====

No. 3
A plane-wave DFT calculation with PBE was carried out for crystalline KDyEr at its relaxed geometry.

Summary:
ρ	4336	kg/m3
SG	F-43m (216)
energy	-6.72	eV per cell

a = 5.8459 Å, b = 5.8459 Å, c = 5.8459 Å
α = 60.00°, β = 60.00°, γ = 60.00°
With the nearest neighbours (Å) after each atom.
Sites, in units of the cell vectors:
Dy 0.2500 0.2500 0.2500  4 Er 3.58
Er 0.0000 0.0000 0.0000  4 Dy 3.58, 4 K 3.58
K 0.7500 0.7500 0.7500  4 Er 3.58